*i*
TlIn2I: optimized geometry, PBE.

a b c (Å): 5.7755 5.7755 3.9378
angles (deg): 90.00 90.00 90.00
Positions (direct):
Tl  0.0000  0.0000  0.0000
In  0.0000  0.5000  0.5000
In  0.5000  0.0000  0.5000
I  0.5000  0.5000  0.0000

Summary:
* N(E_F): 1.23 states/eV/cell

=====

*ii*
TlIn2I: optimized geometry, PBE.

a b c (Å): 6.9586 6.9586 14.9482
angles (deg): 90.00 90.00 90.00
Positions (direct):
Tl  0.0000  0.0000  0.0000
Tl  0.0000  0.5000  0.2500
Tl  0.5000  0.0000  0.7500
Tl  0.5000  0.5000  0.5000
In  0.2052  0.2500  0.1250
In  0.2500  0.7052  0.3750
In  0.2500  0.7948  0.8750
In  0.2948  0.2500  0.6250
In  0.7052  0.7500  0.6250
In  0.7500  0.2052  0.8750
In  0.7500  0.2948  0.3750
In  0.7948  0.7500  0.1250
I  0.0000  0.0000  0.5000
I  0.0000  0.5000  0.7500
I  0.5000  0.0000  0.2500
I  0.5000  0.5000  0.0000

Summary:
* N(E_F): 0.14 states/eV/cell

=====

*iii*
TlIn2I: optimized geometry, PBE.

a b c (Å): 8.0648 8.0648 8.0648
angles (deg): 90.00 90.00 90.00
Positions (direct):
Tl  0.0000  0.0000  0.0000
Tl  0.0000  0.5000  0.5000
Tl  0.5000  0.0000  0.5000
Tl  0.5000  0.5000  0.0000
In  0.2500  0.2500  0.2500
In  0.2500  0.2500  0.7500
In  0.2500  0.7500  0.2500
In  0.2500  0.7500  0.7500
In  0.7500  0.2500  0.2500
In  0.7500  0.2500  0.7500
In  0.7500  0.7500  0.2500
In  0.7500  0.7500  0.7500
I  0.0000  0.0000  0.5000
I  0.0000  0.5000  0.0000
I  0.5000  0.0000  0.0000
I  0.5000  0.5000  0.5000

Summary:
* N(E_F): 13.64 states/eV/cell

=====

Most stable one: *i*, least stable one: *ii*.

=====

*i*
Tl2In2I5: optimized geometry, PBE.

a b c (Å): 9.3836 9.3836 9.4665
angles (deg): 90.00 90.00 58.50
Positions (direct):
Tl  0.1463  0.8537  0.8519
Tl  0.3537  0.6463  0.3519
Tl  0.6463  0.3537  0.6481
Tl  0.8537  0.1463  0.1481
In  0.1984  0.1984  0.5000
In  0.3016  0.3016  0.0000
In  0.6984  0.6984  0.0000
In  0.8016  0.8016  0.5000
I  0.0000  0.0000  0.5000
I  0.0231  0.6871  0.1465
I  0.1871  0.5231  0.6465
I  0.3129  0.9769  0.1465
I  0.4769  0.8129  0.6465
I  0.5000  0.5000  0.0000
I  0.5231  0.1871  0.3535
I  0.6871  0.0231  0.8535
I  0.8129  0.4769  0.3535
I  0.9769  0.3129  0.8535

Summary:
* N(E_F): 11.44 states/eV/cell

=====

*ii*
Tl2In2I5: optimized geometry, PBE.

a b c (Å): 13.1293 13.1293 13.1293
angles (deg): 55.65 141.74 141.17
Positions (direct):
Tl  0.0409  0.1077  0.1486
Tl  0.0409  0.3923  0.4332
Tl  0.9591  0.6077  0.5668
Tl  0.9591  0.8923  0.8514
In  0.4117  0.4117  0.0000
In  0.4117  0.9117  0.5000
In  0.5242  0.8243  0.2000
In  0.6243  0.3243  0.8000
I  0.0568  0.7151  0.8418
I  0.3095  0.0182  0.5575
I  0.3095  0.2520  0.7913
I  0.4222  0.1481  0.2392
I  0.4222  0.6830  0.7741
I  0.4607  0.5182  0.2087
I  0.4607  0.7520  0.4425
I  0.8733  0.2151  0.1582
I  0.9089  0.1830  0.7608
I  0.9089  0.6481  0.2259

Summary:
* N(E_F): 4.00 states/eV/cell

=====

Most stable one: *ii*, least stable one: *i*.

=====

*i*
VIn2I: optimized geometry, PBE.

a b c (Å): 7.7112 7.7112 7.7112
angles (deg): 90.00 90.00 90.00
Positions (direct):
V  0.0000  0.0000  0.0000
V  0.0000  0.5000  0.5000
V  0.5000  0.0000  0.5000
V  0.5000  0.5000  0.0000
In  0.2500  0.2500  0.2500
In  0.2500  0.2500  0.7500
In  0.2500  0.7500  0.2500
In  0.2500  0.7500  0.7500
In  0.7500  0.2500  0.2500
In  0.7500  0.2500  0.7500
In  0.7500  0.7500  0.2500
In  0.7500  0.7500  0.7500
I  0.0000  0.0000  0.5000
I  0.0000  0.5000  0.0000
I  0.5000  0.0000  0.0000
I  0.5000  0.5000  0.5000

Summary:
* N(E_F): 31.13 states/eV/cell

=====

*ii*
VIn2I: optimized geometry, PBE.

a b c (Å): 4.2545 4.2545 24.0969
angles (deg): 90.00 90.00 90.00
Positions (direct):
V  0.0000  0.0000  0.0000
V  0.0000  0.5000  0.2500
V  0.5000  0.0000  0.7500
V  0.5000  0.5000  0.5000
In  0.2461  0.2500  0.1250
In  0.2500  0.7461  0.3750
In  0.2500  0.7539  0.8750
In  0.2539  0.2500  0.6250
In  0.7461  0.7500  0.6250
In  0.7500  0.2461  0.8750
In  0.7500  0.2539  0.3750
In  0.7539  0.7500  0.1250
I  0.0000  0.0000  0.5000
I  0.0000  0.5000  0.7500
I  0.5000  0.0000  0.2500
I  0.5000  0.5000  0.0000

Summary:
* N(E_F): 12.82 states/eV/cell

=====

Most stable one: *ii*, least stable one: *i*.

=====

*i*
In3WI: optimized geometry, PBE.

a b c (Å): 6.1658 6.1658 6.1658
angles (deg): 90.00 90.00 90.00
Positions (direct):
In  0.0000  0.0000  0.5000
In  0.0000  0.5000  0.0000
In  0.5000  0.0000  0.0000
W  0.5000  0.5000  0.5000
I  0.0000  0.0000  0.0000

Summary:
* N(E_F): 2.48 states/eV/cell

=====

*ii*
In3WI: optimized geometry, PBE.

a b c (Å): 5.5178 5.5178 5.5178
angles (deg): 90.00 90.00 90.00
Positions (direct):
In  0.0000  0.0000  0.5000
In  0.0000  0.5000  0.0000
In  0.5000  0.0000  0.0000
W  0.0000  0.0000  0.0000
I  0.5000  0.5000  0.5000

Summary:
* N(E_F): 4.17 states/eV/cell

=====

Most stable one: *ii*, least stable one: *i*.

=====

*i*
YInI3: optimized geometry, PBE.

a b c (Å): 6.0077 6.0077 6.0077
angles (deg): 90.00 90.00 90.00
Positions (direct):
Y  0.0000  0.0000  0.0000
In  0.5000  0.5000  0.5000
I  0.0000  0.5000  0.5000
I  0.5000  0.0000  0.5000
I  0.5000  0.5000  0.0000

Summary:
* N(E_F): 8.67 states/eV/cell

=====

*ii*
YInI3: optimized geometry, PBE.

a b c (Å): 6.0276 6.0276 6.0276
angles (deg): 90.00 90.00 90.00
Positions (direct):
Y  0.0000  0.0000  0.0000
In  0.5000  0.5000  0.5000
I  0.0000  0.0000  0.5000
I  0.0000  0.5000  0.0000
I  0.5000  0.0000  0.0000

Summary:
* N(E_F): 5.49 states/eV/cell

=====

Most stable one: *ii*, least stable one: *i*.

=====

*i*
ZnIn2I8: optimized geometry, PBE.

a b c (Å): 8.6811 8.6811 9.9437
angles (deg): 101.88 101.88 58.12
Positions (direct):
Zn  0.0000  0.0000  0.0000
In  0.2206  0.2206  0.3108
In  0.7794  0.7794  0.6892
I  0.1223  0.6558  0.8597
I  0.1856  0.1856  0.5654
I  0.3442  0.8777  0.1403
I  0.3920  0.3920  0.2810
I  0.6080  0.6080  0.7190
I  0.6558  0.1223  0.8597
I  0.8144  0.8144  0.4346
I  0.8777  0.3442  0.1403

Summary:
* N(E_F): 0.00 states/eV/cell

=====

*ii*
ZnIn2I8: optimized geometry, PBE.

a b c (Å): 8.8105 8.8105 7.1810
angles (deg): 94.13 94.13 81.03
Positions (direct):
Zn  0.0000  0.0000  0.0000
In  0.2025  0.2025  0.6464
In  0.7975  0.7975  0.3536
I  0.0893  0.7335  0.2078
I  0.1943  0.1943  0.2607
I  0.2665  0.9107  0.7922
I  0.3987  0.3987  0.7789
I  0.6013  0.6013  0.2211
I  0.7335  0.0893  0.2078
I  0.8057  0.8057  0.7393
I  0.9107  0.2665  0.7922

Summary:
* N(E_F): 0.00 states/eV/cell

=====

Most stable one: *ii*, least stable one: *i*.

=====

*i*
ZnIn2I2: optimized geometry, PBE.

a b c (Å): 9.6728 9.6728 4.2824
angles (deg): 90.00 90.00 90.00
Positions (direct):
Zn  0.0000  0.0000  0.0000
Zn  0.5000  0.5000  0.0000
In  0.1454  0.3546  0.5000
In  0.3546  0.8546  0.5000
In  0.6454  0.1454  0.5000
In  0.8546  0.6454  0.5000
I  0.1497  0.6497  0.0000
I  0.3503  0.1497  0.0000
I  0.6497  0.8503  0.0000
I  0.8503  0.3503  0.0000

Summary:
* N(E_F): 0.00 states/eV/cell

=====

*ii*
ZnIn2I2: optimized geometry, PBE.

a b c (Å): 8.5545 8.5545 4.8534
angles (deg): 90.00 90.00 90.00
Positions (direct):
Zn  0.0000  0.0000  0.0000
Zn  0.5000  0.5000  0.0000
In  0.1424  0.3576  0.0000
In  0.3576  0.8576  0.0000
In  0.6424  0.1424  0.0000
In  0.8576  0.6424  0.0000
I  0.1715  0.6715  0.5000
I  0.3285  0.1715  0.5000
I  0.6715  0.8285  0.5000
I  0.8285  0.3285  0.5000

Summary:
* N(E_F): 0.00 states/eV/cell

=====

Most stable one: *ii*, least stable one: *i*.

=====

*i*
ZnIn3I: optimized geometry, PBE.

a b c (Å): 5.4091 5.4091 5.4091
angles (deg): 90.00 90.00 90.00
Positions (direct):
Zn  0.0000  0.0000  0.0000
In  0.0000  0.0000  0.5000
In  0.0000  0.5000  0.0000
In  0.5000  0.0000  0.0000
I  0.5000  0.5000  0.5000

Summary:
* N(E_F): 2.45 states/eV/cell

=====

*ii*
ZnIn3I: optimized geometry, PBE.

a b c (Å): 6.3699 6.3699 6.3699
angles (deg): 90.00 90.00 90.00
Positions (direct):
Zn  0.0000  0.0000  0.0000
In  0.0000  0.5000  0.5000
In  0.5000  0.0000  0.5000
In  0.5000  0.5000  0.0000
I  0.5000  0.5000  0.5000

Summary:
* N(E_F): 4.06 states/eV/cell

=====

Most stable one: *i*, least stable one: *ii*.